No. 1
A plane-wave DFT calculation with PBE was carried out for a geometry-optimized Mg2CuBi2 structure.

Computed properties:
calculated density	6.8	Mg/m³
SG	P4/mbm, No. 127
Fermi-level density of states	0.44	states/eV per atom
excess energy over the best structure of this formula in the dataset	0.0	kJ per mole of atoms
energy	-2.90	eV per atom

Cell: 7.474 7.474 4.658 Å, 90.00 90.00 90.00°
Element x y z (fractional)
Mg 0.154 0.346 0.000
Mg 0.346 0.846 0.000
Mg 0.654 0.154 0.000
Mg 0.846 0.654 0.000
Cu 0.000 0.000 0.500
Cu 0.500 0.500 0.500
Bi 0.160 0.660 0.500
Bi 0.340 0.160 0.500
Bi 0.660 0.840 0.500
Bi 0.840 0.340 0.500

No. 2
A plane-wave DFT calculation with PBE was carried out for a geometry-optimized Mg2Cu2Bi structure.

Computed properties:
calculated density	6.5	Mg/m³
SG	P4/mbm, No. 127
Fermi-level density of states	0.41	states/eV per atom
excess energy over the best structure of this formula in the dataset	14.0	kJ per mole of atoms
energy	-2.94	eV per atom

Cell: 7.930 7.930 3.113 Å, 90.00 90.00 90.00°
Element x y z (fractional)
Mg 0.137 0.363 0.000
Mg 0.363 0.863 0.000
Mg 0.637 0.137 0.000
Mg 0.863 0.637 0.000
Cu 0.151 0.651 0.500
Cu 0.349 0.151 0.500
Cu 0.651 0.849 0.500
Cu 0.849 0.349 0.500
Bi 0.000 0.000 0.000
Bi 0.500 0.500 0.000

No. 3
A plane-wave DFT calculation with PBE was carried out for a geometry-optimized Mg2CuBi structure.

Computed properties:
calculated density	6.3	Mg/m³
SG	P4/mmm, No. 123
Fermi-level density of states	0.28	states/eV per atom
energy	-2.79	eV per atom

Cell: 4.468 4.468 4.234 Å, 90.00 90.00 90.00°
Element x y z (fractional)
Mg 0.000 0.500 0.000
Mg 0.500 0.000 0.000
Cu 0.000 0.000 0.500
Bi 0.500 0.500 0.500

No. 4
A plane-wave DFT calculation with PBE was carried out for a geometry-optimized MgCuBi2 structure.

Computed properties:
calculated density	7.7	Mg/m³
SG	I-42d, No. 122
Fermi-level density of states	0.46	states/eV per atom
energy	-3.28	eV per atom

Cell: 6.949 6.949 6.949 Å, 98.29 98.29 135.37°
Element x y z (fractional)
Mg 0.000 0.000 0.000
Mg 0.750 0.250 0.500
Cu 0.250 0.750 0.500
Cu 0.500 0.500 0.000
Bi 0.228 0.625 0.103
Bi 0.375 0.478 0.603
Bi 0.522 0.125 0.897
Bi 0.875 0.772 0.397

No. 5
A plane-wave DFT calculation with PBE was carried out for a geometry-optimized Mg2CuBi structure.

Computed properties:
calculated density	5.4	Mg/m³
SG	R-3m, No. 166
Fermi-level density of states	0.61	states/eV per atom
energy	-2.43	eV per atom

Cell: 10.920 10.920 10.920 Å, 17.15 17.15 17.15°
Element x y z (fractional)
Mg 0.080 0.080 0.080
Mg 0.920 0.920 0.920
Cu 0.000 0.000 0.000
Bi 0.500 0.500 0.500

No. 6
A plane-wave DFT calculation with PBE was carried out for a geometry-optimized MgCu2Bi2 structure.

Computed properties:
calculated density	8.9	Mg/m³
SG	P4/mbm, No. 127
Fermi-level density of states	0.45	states/eV per atom
excess energy over the best structure of this formula in the dataset	0.6	kJ per mole of atoms
energy	-3.42	eV per atom

Cell: 7.285 7.285 4.023 Å, 90.00 90.00 90.00°
Element x y z (fractional)
Mg 0.000 0.000 0.000
Mg 0.500 0.500 0.000
Cu 0.122 0.378 0.000
Cu 0.378 0.878 0.000
Cu 0.622 0.122 0.000
Cu 0.878 0.622 0.000
Bi 0.179 0.679 0.500
Bi 0.321 0.179 0.500
Bi 0.679 0.821 0.500
Bi 0.821 0.321 0.500

| no. | ΔE_f (eV per atom) |
| --- | --- |
| 1 | 0.107 |
| 2 | 0.112 |
| 3 | -0.002 |
| 4 | 0.079 |
| 5 | 0.363 |
| 6 | 0.094 |